Entry 1:
# Pm2DyTm (GGA-PBE, optimized geometry)
# - M_tot (Bohr magnetons per cell) = 0.000
# - calculated formation energy (eV per atom) = 0.0151
data_Pm2DyTm
_chemical_formula_sum 'Pm6 Dy3 Tm3'
_cell_length_a 3.5865
_cell_length_b 3.5865
_cell_length_c 34.8308
_cell_angle_alpha 90.00
_cell_angle_beta 90.00
_cell_angle_gamma 120.00
_symmetry_space_group_name_H-M 'R -3 m'
_symmetry_Int_Tables_number 166
_symmetry_space_group_name_Hall '-R 3 2"'
loop_
_atom_site_label
_atom_site_fract_x
_atom_site_fract_y
_atom_site_fract_z
Pm1 0.0000 0.0000 0.2495
Dy1 0.0000 0.0000 0.0000
Tm1 0.0000 0.0000 0.5000

Entry 2:
# As3S (GGA-PBE, optimized geometry)
# - M_tot (Bohr magnetons per cell) = 0.000
# - formation energy without anion corrections (eV/atom) = 0.143
data_As3S
_chemical_formula_sum 'As3 S1'
_cell_length_a 3.688
_cell_length_b 5.511
_cell_length_c 3.978
_cell_angle_alpha 90.00
_cell_angle_beta 90.00
_cell_angle_gamma 90.00
_symmetry_space_group_name_H-M 'P m m 2'
_symmetry_Int_Tables_number 25
loop_
_symmetry_equiv_pos_as_xyz
'x,y,z'
'-x,-y,z'
'-x,y,z'
'x,-y,z'
loop_
_atom_site_label
_atom_site_fract_x
_atom_site_fract_y
_atom_site_fract_z
As1 0.000 0.000 0.000
As2 0.000 0.500 0.034
As3 0.500 0.000 0.568
S1 0.500 0.500 0.536

Entry 3:
# Ac2TbTmSb4 (GGA-PBE, optimized geometry)
# - M_tot (Bohr magnetons per cell) = 0.000
# - formation energy without anion corrections (eV/atom) = -1.139
data_Ac2TbTmSb4
_chemical_formula_sum 'Ac2 Tb1 Tm1 Sb4'
_cell_length_a 7.932
_cell_length_b 4.591
_cell_length_c 7.947
_cell_angle_alpha 90.00
_cell_angle_beta 109.51
_cell_angle_gamma 90.00
_symmetry_space_group_name_H-M 'P 1 2/m 1'
_symmetry_Int_Tables_number 10
loop_
_symmetry_equiv_pos_as_xyz
'x,y,z'
'-x,-y,-z'
'-x,y,-z'
'x,-y,z'
loop_
_atom_site_label
_atom_site_fract_x
_atom_site_fract_y
_atom_site_fract_z
Ac1 0.000 0.000 0.000
Ac2 0.000 0.500 0.500
Tb1 0.500 0.000 0.500
Tm1 0.500 0.500 0.000
Sb1 0.274 0.500 0.256
Sb2 0.275 0.000 0.760

Entry 4:
# Dy2CoGe3 (GGA-PBE, optimized geometry)
# - M_tot (Bohr magnetons per cell) = 0.000
# - calculated formation energy (eV per atom) = -0.6325
data_Dy2CoGe3
_chemical_formula_sum 'Dy2 Co1 Ge3'
_cell_length_a 4.016
_cell_length_b 4.206
_cell_length_c 7.074
_cell_angle_alpha 90.00
_cell_angle_beta 90.00
_cell_angle_gamma 90.00
_symmetry_space_group_name_H-M 'P m m 2'
_symmetry_Int_Tables_number 25
loop_
_symmetry_equiv_pos_as_xyz
'x,y,z'
'-x,-y,z'
'-x,y,z'
'x,-y,z'
loop_
_atom_site_label
_atom_site_fract_x
_atom_site_fract_y
_atom_site_fract_z
Dy1 0.000 0.000 0.000
Dy2 0.000 0.500 0.480
Co1 0.500 0.000 0.299
Ge1 0.500 0.000 0.623
Ge2 0.500 0.500 0.171
Ge3 0.500 0.500 0.818

Entry 5:
# CeHg2Pd9 (GGA-PBE, optimized geometry)
# - M_tot (Bohr magnetons per cell) = 0.000
# - calculated formation energy (eV per atom) = -0.3595
data_CeHg2Pd9
_chemical_formula_sum 'Ce1 Hg2 Pd9'
_cell_length_a 4.100
_cell_length_b 4.100
_cell_length_c 12.230
_cell_angle_alpha 90.00
_cell_angle_beta 90.00
_cell_angle_gamma 90.00
_symmetry_space_group_name_H-M 'P 4/m m m'
_symmetry_Int_Tables_number 123
_symmetry_space_group_name_Hall '-P 4 2'
loop_
_atom_site_label
_atom_site_fract_x
_atom_site_fract_y
_atom_site_fract_z
Ce1 0.000 0.000 0.000
Hg1 0.000 0.000 0.338
Pd1 0.000 0.500 0.167
Pd2 0.000 0.500 0.500
Pd3 0.500 0.500 0.000
Pd4 0.500 0.500 0.332

Entry 6:
# V2Ni3Ru (GGA-PBE, optimized geometry)
# - M_tot (Bohr magnetons per cell) = 0.000
# - calculated formation energy (eV per atom) = -0.1837
data_V2Ni3Ru
_chemical_formula_sum 'V4 Ni6 Ru2'
_cell_length_a 3.589
_cell_length_b 10.798
_cell_length_c 3.745
_cell_angle_alpha 90.00
_cell_angle_beta 90.00
_cell_angle_gamma 90.00
_symmetry_space_group_name_H-M 'C m m m'
_symmetry_Int_Tables_number 65
_symmetry_space_group_name_Hall '-C 2 2'
loop_
_atom_site_label
_atom_site_fract_x
_atom_site_fract_y
_atom_site_fract_z
V1 0.000 0.162 0.000
Ni1 0.000 0.000 0.500
Ni2 0.000 0.331 0.500
Ru1 0.000 0.500 0.000

Entry 7:
# TmSn5Te7 (GGA-PBE, optimized geometry)
# - M_tot (Bohr magnetons per cell) = 0.000
# - formation energy without anion corrections (eV/atom) = -0.444
data_TmSn5Te7
_chemical_formula_sum 'Tm4 Sn20 Te28'
_cell_length_a 4.372
_cell_length_b 15.050
_cell_length_c 26.012
_cell_angle_alpha 90.00
_cell_angle_beta 90.00
_cell_angle_gamma 90.00
_symmetry_space_group_name_H-M 'C m c 21'
_symmetry_Int_Tables_number 36
loop_
_symmetry_equiv_pos_as_xyz
'x,y,z'
'-x,-y,z+1/2'
'-x,y,z'
'x,-y,z+1/2'
'x+1/2,y+1/2,z'
'-x+1/2,-y+1/2,z+1/2'
'-x+1/2,y+1/2,z'
'x+1/2,-y+1/2,z+1/2'
loop_
_atom_site_label
_atom_site_fract_x
_atom_site_fract_y
_atom_site_fract_z
Tm1 0.000 0.208 0.000
Sn1 0.000 0.014 0.239
Sn2 0.000 0.256 0.663
Sn3 0.000 0.288 0.313
Sn4 0.000 0.442 0.888
Sn5 0.000 0.476 0.086
Te1 0.000 0.071 0.843
Te2 0.000 0.118 0.112
Te3 0.000 0.175 0.556
Te4 0.000 0.207 0.421
Te5 0.000 0.348 0.776
Te6 0.000 0.378 0.199
Te7 0.000 0.432 0.483

Entry 8:
# AcPm4PrS8 (GGA-PBE, optimized geometry)
# - M_tot (Bohr magnetons per cell) = 0.000
# - formation energy without anion corrections (eV/atom) = -1.921
data_AcPm4PrS8
_chemical_formula_sum 'Ac3 Pm12 Pr3 S24'
_cell_length_a 8.3761
_cell_length_b 8.3761
_cell_length_c 20.6113
_cell_angle_alpha 90.00
_cell_angle_beta 90.00
_cell_angle_gamma 120.00
_symmetry_space_group_name_H-M 'R 3 m'
_symmetry_Int_Tables_number 160
_symmetry_space_group_name_Hall 'R 3 -2"'
loop_
_atom_site_label
_atom_site_fract_x
_atom_site_fract_y
_atom_site_fract_z
Ac1 0.0000 0.0000 0.0000
Pm1 0.0000 0.0000 0.2509
Pm2 0.0051 0.5026 0.1261
Pr1 0.0000 0.0000 0.6234
S1 0.0000 0.0000 0.3824
S2 0.0000 0.0000 0.8622
S3 0.0322 0.5161 0.3810
S4 0.1739 0.3478 0.2051

Entry 9:
# Ca2SbPBr (GGA-PBE, optimized geometry)
# - M_tot (Bohr magnetons per cell) = 1.090
# - formation energy without anion corrections (eV/atom) = -0.039
data_Ca2SbPBr
_chemical_formula_sum 'Ca2 Sb1 P1 Br1'
_cell_length_a 5.958
_cell_length_b 5.958
_cell_length_c 5.457
_cell_angle_alpha 90.00
_cell_angle_beta 90.00
_cell_angle_gamma 90.00
_symmetry_space_group_name_H-M 'P 4/m m m'
_symmetry_Int_Tables_number 123
_symmetry_space_group_name_Hall '-P 4 2'
loop_
_atom_site_label
_atom_site_fract_x
_atom_site_fract_y
_atom_site_fract_z
Ca1 0.000 0.500 0.000
Sb1 0.000 0.000 0.000
P1 0.500 0.500 0.500
Br1 0.000 0.000 0.500

Entry 10:
# TbPmCF (GGA-PBE, optimized geometry)
# - M_tot (Bohr magnetons per cell) = 1.041
# - formation energy without anion corrections (eV/atom) = -1.235
data_TbPmCF
_chemical_formula_sum 'Tb2 Pm2 C2 F2'
_cell_length_a 5.148
_cell_length_b 4.223
_cell_length_c 7.342
_cell_angle_alpha 90.00
_cell_angle_beta 90.00
_cell_angle_gamma 90.00
_symmetry_space_group_name_H-M 'A m m 2'
_symmetry_Int_Tables_number 38
loop_
_symmetry_equiv_pos_as_xyz
'x,y,z'
'-x,-y,z'
'-x,y,z'
'x,-y,z'
'x,y+1/2,z+1/2'
'-x,-y+1/2,z+1/2'
'-x,y+1/2,z+1/2'
'x,-y+1/2,z+1/2'
loop_
_atom_site_label
_atom_site_fract_x
_atom_site_fract_y
_atom_site_fract_z
Tb1 0.000 0.000 0.000
Pm1 0.500 0.000 0.332
C1 0.000 0.000 0.333
F1 0.500 0.000 0.000

Entry 11:
# La3Pr2Ag2 (GGA-PBE, optimized geometry)
# - M_tot (Bohr magnetons per cell) = 0.652
# - calculated formation energy (eV per atom) = -0.0752
data_La3Pr2Ag2
_chemical_formula_sum 'La6 Pr4 Ag4'
_cell_length_a 3.743
_cell_length_b 32.361
_cell_length_c 3.728
_cell_angle_alpha 90.00
_cell_angle_beta 90.00
_cell_angle_gamma 90.00
_symmetry_space_group_name_H-M 'C m m m'
_symmetry_Int_Tables_number 65
_symmetry_space_group_name_Hall '-C 2 2'
loop_
_atom_site_label
_atom_site_fract_x
_atom_site_fract_y
_atom_site_fract_z
La1 0.000 0.000 0.000
La2 0.000 0.122 0.000
Pr1 0.000 0.297 0.500
Ag1 0.000 0.438 0.500

Entry 12:
# Tb2CeAs (GGA-PBE, optimized geometry)
# - M_tot (Bohr magnetons per cell) = 4.752
# - calculated formation energy (eV per atom) = -0.5301
data_Tb2CeAs
_chemical_formula_sum 'Tb6 Ce3 As3'
_cell_length_a 3.8508
_cell_length_b 3.8508
_cell_length_c 28.3656
_cell_angle_alpha 90.00
_cell_angle_beta 90.00
_cell_angle_gamma 120.00
_symmetry_space_group_name_H-M 'R -3 m'
_symmetry_Int_Tables_number 166
_symmetry_space_group_name_Hall '-R 3 2"'
loop_
_atom_site_label
_atom_site_fract_x
_atom_site_fract_y
_atom_site_fract_z
Tb1 0.0000 0.0000 0.2285
Ce1 0.0000 0.0000 0.0000
As1 0.0000 0.0000 0.5000